[1]
The following is a DFT calculation (GGA-PBEsol) of crystalline SrLa2Co3O9 at its relaxed geometry.

space-group type	Cm

Cell and atoms, written as extended XYZ:
```
15
Lattice="5.341 0.012 -0.031 2.660 4.631 -0.031 0.037 0.021 6.546" Properties=species:S:1:pos:R:3 pbc="T T T"
O 6.696 3.885 1.089
O 2.699 3.111 5.426
O 3.994 2.318 3.189
O 2.687 0.044 3.206
O 1.372 2.312 3.206
O 4.040 0.799 5.426
O 5.341 1.528 1.109
O 3.977 3.879 1.109
O 1.370 0.795 5.452
Co 5.346 3.102 2.141
Co 0.038 0.022 6.518
Co 2.693 1.563 4.371
Sr 5.366 3.114 5.414
La 2.674 1.551 1.078
La 0.019 0.011 3.266
```

---

[2]
The following is a DFT calculation (GGA-PBEsol) of crystalline AlCu3 at its relaxed geometry.

ΔE_f	-0.189	eV/atom
space-group type	Pm-3m

Cell and atoms, written as extended XYZ:
```
4
Lattice="-0.634 1.667 -3.158 -3.322 -1.454 -0.101 -1.312 2.874 1.781" Properties=species:S:1:pos:R:3 pbc="T T T"
Cu -1.978 0.107 -1.629
Cu -0.973 2.271 -0.689
Cu -2.317 0.710 0.840
Al 0.000 0.000 0.000
```

---

Electronic total energy (eV per atom)
-7.66; -4.46